Material: La2Sm2YMg5
Method: DFT, GGA-PBE
State: optimized geometry

a = 10.700 Å, b = 10.700 Å, c = 5.149 Å
α = 90.00°, β = 90.00°, γ = 90.00°
Space group P4/mbm (No. 127)
Symmetry-distinct sites (fractional):
La 0.174 0.326 0.000 (multiplicity 4)
Sm 0.123 0.623 0.000 (multiplicity 4)
Y 0.000 0.000 0.000 (multiplicity 2)
Mg 0.000 0.500 0.500 (multiplicity 2)
Mg 0.072 0.805 0.500 (multiplicity 8)

## Properties
DOS(E_F), states/eV/cell: 13.7
Mass density, g/cm3: 4.45
Energy of formation from the pure elements, eV/atom: -0.008
Volume, Å³ per atom: 29.47

Material: La2Sm3Y6Mg
Method: DFT, GGA-PBE
State: optimized geometry

a = 6.218 Å, b = 10.772 Å, c = 11.895 Å
α = 90.00°, β = 100.07°, γ = 90.00°
Space group C2/m (No. 12)
Symmetry-distinct sites (fractional):
La 0.000 0.167 0.000 (multiplicity 4)
Sm 0.000 0.000 0.500 (multiplicity 2)
Sm 0.000 0.334 0.500 (multiplicity 4)
Y 0.247 0.500 0.749 (multiplicity 4)
Y 0.248 0.335 0.250 (multiplicity 8)
Mg 0.000 0.500 0.000 (multiplicity 2)

## Properties
DOS(E_F), states/eV/cell: 37.9
Mass density, g/cm3: 5.45
Energy of formation from the pure elements, eV/atom: 0.016
Volume, Å³ per atom: 32.69

Material: La4Sm2YMg
Method: DFT, GGA-PBE
State: optimized geometry

a = 5.169 Å, b = 5.169 Å, c = 10.165 Å
α = 90.00°, β = 90.00°, γ = 90.00°
Space group P4/mmm (No. 123)
Symmetry-distinct sites (fractional):
La 0.000 0.500 0.245 (multiplicity 4)
Sm 0.000 0.000 0.000 (multiplicity 1)
Sm 0.500 0.500 0.500 (multiplicity 1)
Y 0.000 0.000 0.500 (multiplicity 1)
Mg 0.500 0.500 0.000 (multiplicity 1)

## Properties
DOS(E_F), states/eV/cell: 10.7
Mass density, g/cm3: 5.93
Energy of formation from the pure elements, eV/atom: 0.002
Volume, Å³ per atom: 33.96